# 1
Compound: BeRuW
Source: Alexandria
Functional: PBE
Structure: optimized geometry

Geometry as extended XYZ:
```
12
Lattice="5.1366 0.0000 0.0000 0.0000 4.1491 0.0000 0.0000 0.0000 7.2984" Properties=species:S:1:pos:R:3 pbc="T T T"
Be 1.1905 1.0373 0.6279
Be 1.3778 3.1119 4.2771
Be 3.7587 1.0373 3.0213
Be 3.9461 3.1119 6.6704
Ru 1.1795 1.0373 3.0623
Ru 1.3888 3.1119 6.7114
Ru 3.7478 1.0373 0.5869
Ru 3.9571 3.1119 4.2361
W 0.0748 1.0373 5.5015
W 2.4935 3.1119 1.8523
W 2.6431 1.0373 5.4460
W 5.0618 3.1119 1.7969
```

Calculated values
Calculated volume ... 12.96 A^3/atom
SG ... Pnma (62)
Energy ... -8.707 eV/atom
Crystal system ... orthorhombic

---

# 2
Compound: BeRuW
Source: Alexandria
Functional: PBE
Structure: optimized geometry

Geometry as extended XYZ:
```
3
Lattice="4.0565 0.0000 0.0000 -2.0282 3.5130 0.0000 0.0000 0.0000 2.7700" Properties=species:S:1:pos:R:3 pbc="T T T"
Be 0.0000 0.0000 0.0000
Ru 2.0282 1.1710 0.1873
W 0.0000 2.3420 1.4624
```

Calculated values
Calculated volume ... 13.16 A^3/atom
SG ... P3m1 (156)
Energy ... -8.643 eV/atom
Crystal system ... trigonal

---

# 3
Compound: BeRuW
Source: Alexandria
Functional: PBE
Structure: optimized geometry

Geometry as extended XYZ:
```
3
Lattice="0.0000 2.8817 2.8817 2.8817 0.0000 2.8817 2.8817 2.8817 0.0000" Properties=species:S:1:pos:R:3 pbc="T T T"
Be 0.0000 0.0000 0.0000
Ru 2.8817 2.8817 2.8817
W 4.3226 4.3226 4.3226
```

Calculated values
Calculated volume ... 15.95 A^3/atom
SG ... F-43m (216)
Energy ... -7.919 eV/atom
Crystal system ... cubic

---

# 4
Compound: BeRu2W
Source: Alexandria
Functional: PBE
Structure: optimized geometry

Geometry as extended XYZ:
```
4
Lattice="3.0031 0.0000 0.0000 0.0000 3.0031 0.0000 0.0000 0.0000 5.8457" Properties=species:S:1:pos:R:3 pbc="T T T"
Be 0.0000 0.0000 0.0000
Ru 1.5015 1.5015 1.3348
Ru 1.5015 1.5015 4.5109
W 0.0000 0.0000 2.9228
```

Calculated values
Calculated volume ... 13.18 A^3/atom
SG ... P4/mmm (123)
Energy ... -9.005 eV/atom
Crystal system ... tetragonal

---

# 5
Compound: BeRu3W
Source: Alexandria
Functional: PBE
Structure: optimized geometry

Geometry as extended XYZ:
```
5
Lattice="4.6613 0.0000 0.0000 0.0000 4.6613 0.0000 0.0000 0.0000 4.6613" Properties=species:S:1:pos:R:3 pbc="T T T"
Be 0.0000 0.0000 0.0000
Ru 0.0000 2.3306 2.3306
Ru 2.3306 0.0000 2.3306
Ru 2.3306 2.3306 0.0000
W 2.3306 2.3306 2.3306
```

Calculated values
Calculated volume ... 20.26 A^3/atom
SG ... Pm-3m (221)
Energy ... -7.028 eV/atom
Crystal system ... cubic

---

# 6
Compound: BeRu2W
Source: Alexandria
Functional: PBE
Structure: optimized geometry

Geometry as extended XYZ:
```
4
Lattice="0.0000 3.0082 3.0082 3.0082 0.0000 3.0082 3.0082 3.0082 0.0000" Properties=species:S:1:pos:R:3 pbc="T T T"
Be 0.0000 0.0000 0.0000
Ru 3.0082 3.0082 3.0082
Ru 4.5124 4.5124 4.5124
W 1.5041 1.5041 1.5041
```

Calculated values
Calculated volume ... 13.61 A^3/atom
SG ... F-43m (216)
Energy ... -8.471 eV/atom
Crystal system ... cubic

---

# 7
Compound: BeRu2W
Source: Alexandria
Functional: PBE
Structure: optimized geometry

Geometry as extended XYZ:
```
4
Lattice="1.4680 -2.2288 0.0000 1.4680 2.2288 0.0000 0.0000 0.0000 8.3202" Properties=species:S:1:pos:R:3 pbc="T T T"
Be 0.0000 0.0000 0.0000
Ru 0.0000 0.0000 4.0728
Ru 1.4680 0.0000 1.7657
W 1.4680 0.0000 6.2936
```

Calculated values
Calculated volume ... 13.61 A^3/atom
SG ... Cmm2 (35)
Energy ... -8.514 eV/atom
Crystal system ... orthorhombic

---

# 8
Compound: BeRuW3
Source: Alexandria
Functional: PBE
Structure: optimized geometry

Geometry as extended XYZ:
```
5
Lattice="4.6752 0.0000 0.0000 0.0000 4.6752 0.0000 0.0000 0.0000 4.6752" Properties=species:S:1:pos:R:3 pbc="T T T"
Be 0.0000 0.0000 0.0000
Ru 2.3376 2.3376 2.3376
W 0.0000 2.3376 2.3376
W 2.3376 0.0000 2.3376
W 2.3376 2.3376 0.0000
```

Calculated values
Calculated volume ... 20.44 A^3/atom
SG ... Pm-3m (221)
Energy ... -8.162 eV/atom
Crystal system ... cubic

---

# 9
Compound: Be2RuW2
Source: Alexandria
Functional: PBE
Structure: optimized geometry

Geometry as extended XYZ:
```
10
Lattice="6.1692 0.0000 0.0000 0.0000 6.1692 0.0000 0.0000 0.0000 3.1882" Properties=species:S:1:pos:R:3 pbc="T T T"
Be 0.7473 2.3373 0.0000
Be 2.3373 5.4219 0.0000
Be 3.8319 0.7473 0.0000
Be 5.4219 3.8319 0.0000
Ru 0.0000 0.0000 0.0000
Ru 3.0846 3.0846 0.0000
W 1.0555 4.1401 1.5941
W 2.0291 1.0555 1.5941
W 4.1401 5.1137 1.5941
W 5.1137 2.0291 1.5941
```

Calculated values
Calculated volume ... 12.13 A^3/atom
SG ... P4/mbm (127)
Energy ... -8.622 eV/atom
Crystal system ... tetragonal

---

# 10
Compound: BeRu3W
Source: Alexandria
Functional: PBE
Structure: optimized geometry

Geometry as extended XYZ:
```
5
Lattice="4.0693 0.0000 0.0000 0.0000 4.0693 0.0000 0.0000 0.0000 4.0693" Properties=species:S:1:pos:R:3 pbc="T T T"
Be 0.0000 0.0000 0.0000
Ru 0.0000 0.0000 2.0346
Ru 0.0000 2.0346 0.0000
Ru 2.0346 0.0000 0.0000
W 2.0346 2.0346 2.0346
```

Calculated values
Calculated volume ... 13.48 A^3/atom
SG ... Pm-3m (221)
Energy ... -8.595 eV/atom
Crystal system ... cubic

---

# 11
Compound: BeRu2W
Source: Alexandria
Functional: PBE
Structure: optimized geometry

Geometry as extended XYZ:
```
4
Lattice="4.6132 -1.5311 0.0000 4.6132 1.5311 0.0000 -1.6676 0.0000 3.7701" Properties=species:S:1:pos:R:3 pbc="T T T"
Be 0.0000 0.0000 0.0000
Ru 1.1377 0.0000 3.0994
Ru 3.8080 0.0000 1.9509
W 6.4223 0.0000 1.1204
```

Calculated values
Calculated volume ... 13.32 A^3/atom
SG ... Cm (8)
Energy ... -8.837 eV/atom
Crystal system ... monoclinic

---

# 12
Compound: Be17RuW
Source: Alexandria
Functional: PBE
Structure: optimized geometry

Geometry as extended XYZ:
```
19
Lattice="3.6250 2.0929 3.5223 -3.6250 2.0929 3.5223 0.0000 -4.1858 3.5223" Properties=species:S:1:pos:R:3 pbc="T T T"
Be 0.0000 0.0000 0.5352
Be -1.1153 -2.3031 5.1488
Be -2.5522 0.1857 5.1488
Be 0.0000 -2.0398 3.4190
Be -1.7665 1.0199 3.4190
Be 0.0000 0.0000 2.6807
Be -1.8157 -1.0483 6.7305
Be 1.1153 -2.3031 5.1488
Be -1.4369 2.1175 5.1488
Be 0.0000 -2.0055 7.0447
Be -1.7368 1.0027 7.0447
Be 1.7665 1.0199 3.4190
Be 1.8157 -1.0483 6.7305
Be 0.0000 2.0966 6.7305
Be 2.5522 0.1857 5.1488
Be 1.4369 2.1175 5.1488
Be 1.7368 1.0027 7.0447
Ru 0.0000 0.0000 8.6366
W 0.0000 0.0000 5.2024
```

Calculated values
Calculated volume ... 8.44 A^3/atom
SG ... R3m (160)
Energy ... -4.661 eV/atom
Crystal system ... trigonal

---

# 13
Compound: Be2Ru2W
Source: Alexandria
Functional: PBE
Structure: optimized geometry

Geometry as extended XYZ:
```
10
Lattice="6.3845 0.0000 0.0000 0.0000 6.3845 0.0000 0.0000 0.0000 2.8909" Properties=species:S:1:pos:R:3 pbc="T T T"
Be 0.7854 2.4068 0.0000
Be 2.4068 5.5991 0.0000
Be 3.9777 0.7854 0.0000
Be 5.5991 3.9777 0.0000
Ru 1.0774 4.2697 1.4455
Ru 2.1148 1.0774 1.4455
Ru 4.2697 5.3071 1.4455
Ru 5.3071 2.1148 1.4455
W 0.0000 0.0000 0.0000
W 3.1923 3.1923 0.0000
```

Calculated values
Calculated volume ... 11.78 A^3/atom
SG ... P4/mbm (127)
Energy ... -8.038 eV/atom
Crystal system ... tetragonal

---

# 14
Compound: BeRuW
Source: Alexandria
Functional: PBE
Structure: optimized geometry

Geometry as extended XYZ:
```
3
Lattice="0.0000 2.8682 2.8682 2.8682 0.0000 2.8682 2.8682 2.8682 0.0000" Properties=species:S:1:pos:R:3 pbc="T T T"
Be 0.0000 0.0000 0.0000
Ru 1.4341 1.4341 1.4341
W 2.8682 2.8682 2.8682
```

Calculated values
Calculated volume ... 15.73 A^3/atom
SG ... F-43m (216)
Energy ... -8.163 eV/atom
Crystal system ... cubic

---

Number 1: energy of formation from the pure elements -55 meV/atom. Number 2: energy of formation from the pure elements 9 meV/atom. Number 3: energy of formation from the pure elements 732 meV/atom. Number 4: energy of formation from the pure elements -197 meV/atom. Number 5: energy of formation from the pure elements 1873 meV/atom. Number 6: energy of formation from the pure elements 337 meV/atom. Number 7: energy of formation from the pure elements 293 meV/atom. Number 8: energy of formation from the pure elements 2211 meV/atom. Number 9: energy of formation from the pure elements -95 meV/atom. Number 10: energy of formation from the pure elements 307 meV/atom. Number 11: energy of formation from the pure elements -29 meV/atom. Number 12: energy of formation from the pure elements -157 meV/atom. Number 13: energy of formation from the pure elements -247 meV/atom. Number 14: energy of formation from the pure elements 489 meV/atom.